ScCdNO (PBE-GGA, relaxed); relative energy among the computed polymorphs = 24 meV per atom; space-group type = Pca2_1, No. 29; VASP energy = -104.775 eV/cell
1.0
6.186 0.000 0.000
0.000 7.334 0.000
0.000 0.000 5.251
Cd N Sc O
4 4 4 4
direct
0.070 0.642 0.016
0.430 0.642 0.516
0.930 0.358 0.516
0.570 0.358 0.016
0.097 0.105 0.607
0.903 0.895 0.107
0.403 0.105 0.107
0.597 0.895 0.607
0.420 0.124 0.505
0.580 0.876 0.005
0.920 0.876 0.505
0.080 0.124 0.005
0.930 0.367 0.074
0.070 0.633 0.574
0.430 0.633 0.074
0.570 0.367 0.574